No. 1
Below is a geometry-optimized Li9Ag4Bi11 structure, with properties calculated at the PBE-GGA level.

The structure in CIF format:
```
data_Li9Ag4Bi11
_cell_length_a 13.083
_cell_length_b 13.083
_cell_length_c 3.385
_cell_angle_alpha 90.00
_cell_angle_beta 90.00
_cell_angle_gamma 98.17
_space_group_name_H-M_alt 'P 1'
_space_group_IT_number 1
loop_
_space_group_symop_operation_xyz
'x,y,z'
loop_
_atom_site_label
_atom_site_fract_x
_atom_site_fract_y
_atom_site_fract_z
Li1 0.000 0.000 0.000
Li2 0.116 0.650 0.000
Li3 0.293 0.481 0.000
Li4 0.350 0.884 0.000
Li5 0.481 0.293 0.000
Li6 0.519 0.707 0.000
Li7 0.650 0.116 0.000
Li8 0.707 0.519 0.000
Li9 0.884 0.350 0.000
Ag1 0.060 0.214 0.000
Ag2 0.214 0.060 0.000
Ag3 0.786 0.940 0.000
Ag4 0.940 0.786 0.000
Bi1 0.088 0.424 0.500
Bi2 0.133 0.867 0.500
Bi3 0.264 0.264 0.500
Bi4 0.319 0.681 0.500
Bi5 0.424 0.088 0.500
Bi6 0.500 0.500 0.500
Bi7 0.576 0.912 0.500
Bi8 0.681 0.319 0.500
Bi9 0.736 0.736 0.500
Bi10 0.867 0.133 0.500
Bi11 0.912 0.576 0.500
```

Results
size of the total moment	0.000	μB per atom
DFT formation energy	-5.598	eV per formula unit
symmetry	Cmmm (65)

No. 2
Below is a geometry-optimized Y2Zn16Rh structure, with properties calculated at the PBE-GGA level.

The structure in CIF format:
```
data_Y2Zn16Rh
_cell_length_a 6.779
_cell_length_b 6.779
_cell_length_c 6.779
_cell_angle_alpha 82.76
_cell_angle_beta 82.76
_cell_angle_gamma 82.76
_space_group_name_H-M_alt 'P 1'
_space_group_IT_number 1
loop_
_space_group_symop_operation_xyz
'x,y,z'
loop_
_atom_site_label
_atom_site_fract_x
_atom_site_fract_y
_atom_site_fract_z
Y1 0.000 0.000 0.000
Y2 0.332 0.332 0.332
Zn1 0.016 0.016 0.498
Zn2 0.016 0.498 0.016
Zn3 0.166 0.657 0.657
Zn4 0.310 0.310 0.815
Zn5 0.310 0.815 0.310
Zn6 0.369 0.659 0.949
Zn7 0.369 0.949 0.659
Zn8 0.498 0.016 0.016
Zn9 0.657 0.166 0.657
Zn10 0.657 0.657 0.166
Zn11 0.659 0.369 0.949
Zn12 0.659 0.949 0.369
Zn13 0.763 0.763 0.763
Zn14 0.815 0.310 0.310
Zn15 0.949 0.369 0.659
Zn16 0.949 0.659 0.369
Rh1 0.562 0.562 0.562
```

Results
size of the total moment	0.000	μB per atom
DFT formation energy	-5.227	eV per formula unit
symmetry	R3m (160)

No. 3
Below is a geometry-optimized PuCrPd structure, with properties calculated at the PBE-GGA level.

The structure in CIF format:
```
data_PuCrPd
_cell_length_a 6.709
_cell_length_b 5.708
_cell_length_c 5.283
_cell_angle_alpha 75.13
_cell_angle_beta 55.31
_cell_angle_gamma 49.56
_space_group_name_H-M_alt 'P 1'
_space_group_IT_number 1
loop_
_space_group_symop_operation_xyz
'x,y,z'
loop_
_atom_site_label
_atom_site_fract_x
_atom_site_fract_y
_atom_site_fract_z
Pu1 0.163 0.837 0.163
Pu2 0.837 0.163 0.837
Cr1 0.340 0.340 0.660
Cr2 0.660 0.660 0.340
Pd1 0.250 0.250 0.250
Pd2 0.750 0.750 0.750
```

Results
size of the total moment	3.343	μB per atom
DFT formation energy	0.736	eV per formula unit
symmetry	Fmmm (69)